[1]
The following is a DFT calculation (meta-GGA SCAN) of a crystal of AlInCu relaxed with PBEsol.

The structure in POSCAR format:
```
AlInCu
1.0
0.000 3.061 3.061
3.061 0.000 3.061
3.061 3.061 0.000
Al In Cu
1 1 1
Cartesian
0.000 0.000 0.000
1.531 1.531 1.531
4.592 4.592 4.592
```

density of states at the Fermi level = 0.8 states/eV/cell
energy = -18.605 eV per atom

***

[2]
The following is a DFT calculation (meta-GGA SCAN) of a crystal of Al3InCu relaxed with PBEsol.

The structure in POSCAR format:
```
Al3InCu
1.0
5.098 0.000 0.000
0.000 5.098 0.000
0.000 0.000 5.098
Al In Cu
3 1 1
Cartesian
0.000 0.000 2.549
0.000 2.549 0.000
2.549 0.000 0.000
0.000 0.000 0.000
2.549 2.549 2.549
```

density of states at the Fermi level = 2.5 states/eV/cell
energy = -13.161 eV per atom

***

[3]
The following is a DFT calculation (meta-GGA SCAN) of a crystal of AlInCuIr2 relaxed with PBEsol.

The structure in POSCAR format:
```
AlInCuIr2
1.0
4.800 0.000 0.000
0.000 4.800 0.000
0.000 0.000 4.478
Al In Cu Ir
1 1 1 2
Cartesian
0.000 0.000 0.000
2.400 2.400 2.239
2.400 2.400 0.000
0.000 2.400 2.239
2.400 0.000 2.239
```

density of states at the Fermi level = 1.7 states/eV/cell
energy = -38.115 eV per atom

***

[4]
The following is a DFT calculation (meta-GGA SCAN) of a crystal of Al4InCuS8 relaxed with PBEsol.

The structure in POSCAR format:
```
Al4InCuS8
1.0
3.546 2.047 5.857
-3.546 2.047 5.857
0.000 -4.095 5.857
Al In Cu S
4 1 1 8
Cartesian
0.000 0.000 0.000
0.000 -1.932 9.492
-1.673 0.966 9.492
1.673 0.966 9.492
0.000 0.000 6.688
0.000 0.000 13.176
0.000 -1.968 4.990
-1.704 0.984 4.990
0.000 0.000 2.335
-1.744 -1.007 8.200
1.704 0.984 4.990
0.000 0.000 10.891
1.744 -1.007 8.200
0.000 2.014 8.200
```

formation energy from raw total energies = -101.3 kJ/mol of atoms

***

[5]
The following is a DFT calculation (meta-GGA SCAN) of a crystal of AlInCu2Se4 relaxed with PBEsol.

The structure in POSCAR format:
```
AlInCu2Se4
1.0
-2.829 2.829 5.657
2.829 -2.829 5.657
2.829 2.829 -5.657
Al In Cu Se
1 1 2 4
Cartesian
0.000 0.000 0.000
2.829 0.000 2.829
0.000 0.000 5.657
0.000 2.829 2.829
1.517 1.326 -1.338
1.503 -1.312 6.995
1.312 1.503 4.319
1.326 4.141 1.338
```

formation energy from raw total energies = -58.2 kJ/mol of atoms

***

[6]
The following is a DFT calculation (meta-GGA SCAN) of a crystal of AlIn3Cu4Se8 relaxed with PBEsol.

The structure in POSCAR format:
```
AlIn3Cu4Se8
1.0
5.711 0.000 0.000
-2.854 6.398 0.000
-2.852 -1.308 10.219
Al In Cu Se
1 3 4 8
Cartesian
0.000 0.000 0.000
-2.885 5.111 3.782
-0.024 2.539 5.101
0.007 1.246 8.987
-2.878 3.851 7.721
0.003 3.845 1.216
2.854 1.225 2.493
2.829 -0.037 6.441
-1.673 0.609 4.481
-1.520 -0.758 8.271
-1.333 5.759 1.774
-1.477 4.553 5.910
-1.504 3.293 9.607
1.411 3.076 2.983
1.608 1.915 7.046
4.394 1.884 0.773
```

formation energy from raw total energies = -52.7 kJ/mol of atoms
density of states at the Fermi level = 0.2 states/eV/cell

***

[7]
The following is a DFT calculation (meta-GGA SCAN) of a crystal of AlCuIr2 relaxed with PBEsol.

The structure in POSCAR format:
```
AlCuIr2
1.0
2.787 0.000 0.000
0.000 4.242 0.000
0.000 0.000 4.592
Al Cu Ir
1 1 2
Cartesian
0.000 0.000 0.000
1.394 0.000 2.296
0.000 2.121 2.296
1.394 2.121 0.000
```

density of states at the Fermi level = 2.3 states/eV/cell
energy = -41.579 eV per atom

***

[8]
The following is a DFT calculation (meta-GGA SCAN) of a crystal of AlCuIr2 relaxed with PBEsol.

The structure in POSCAR format:
```
AlCuIr2
1.0
4.219 -1.376 0.000
4.219 1.376 0.000
-0.982 0.000 4.624
Al Cu Ir
1 1 2
Cartesian
0.000 0.000 0.000
3.728 0.000 2.312
1.431 0.000 3.450
6.024 0.000 1.174
```

density of states at the Fermi level = 1.9 states/eV/cell
energy = -41.718 eV per atom

***

[9]
The following is a DFT calculation (meta-GGA SCAN) of a crystal of AlCuIr2 relaxed with PBEsol.

The structure in POSCAR format:
```
AlCuIr2
1.0
1.360 -2.332 0.000
1.360 2.332 0.000
0.000 0.000 8.670
Al Cu Ir
1 1 2
Cartesian
0.000 0.000 0.000
1.360 0.000 2.054
0.000 0.000 4.251
1.360 0.000 6.596
```

density of states at the Fermi level = 2.8 states/eV/cell
energy = -41.304 eV per atom

***

[10]
The following is a DFT calculation (meta-GGA SCAN) of a crystal of AlCu2Ir relaxed with PBEsol.

The structure in POSCAR format:
```
AlCu2Ir
1.0
1.341 0.774 8.308
-1.341 0.774 8.308
0.000 -1.548 8.308
Al Cu Ir
1 2 1
Cartesian
0.000 0.000 0.000
0.000 0.000 6.291
0.000 0.000 18.632
0.000 0.000 12.462
```

density of states at the Fermi level = 3.1 states/eV/cell
energy = -27.365 eV per atom

***

[11]
The following is a DFT calculation (meta-GGA SCAN) of a crystal of AlCu2Ir relaxed with PBEsol.

The structure in POSCAR format:
```
AlCu2Ir
1.0
-1.796 1.796 3.926
1.796 -1.796 3.926
1.796 1.796 -3.926
Al Cu Ir
1 2 1
Cartesian
0.000 0.000 0.000
1.796 0.000 1.963
0.000 1.796 1.963
0.000 0.000 3.926
```

density of states at the Fermi level = 2.0 states/eV/cell
energy = -27.641 eV per atom

***

[12]
The following is a DFT calculation (meta-GGA SCAN) of a crystal of AlCu2Ir relaxed with PBEsol.

The structure in POSCAR format:
```
AlCu2Ir
1.0
2.487 -4.430 0.000
2.487 4.430 0.000
-1.387 0.000 2.361
Al Cu Ir
1 2 1
Cartesian
0.000 0.000 0.000
0.550 2.215 1.181
0.550 -2.215 1.181
2.487 0.000 0.000
```

density of states at the Fermi level = 2.0 states/eV/cell
energy = -27.600 eV per atom